## SbTe2F6 (PBE-GGA)

Data for crystalline SbTe2F6 at its relaxed geometry.

## Properties
Size of the total moment (μB/f.u.): 0.00
Calculated total energy (eV per atom): -4.26
Volume (A^3/atom): 20.92

Cell lengths 5.768, 8.260, 8.618 Å; angles 71.72, 78.02, 77.78 degrees
Element x y z (fractional)
Sb (0.620, 0.178, 0.663)
Sb (0.380, 0.822, 0.337)
Te (0.941, 0.268, 0.061)
Te (0.850, 0.554, 0.805)
Te (0.150, 0.446, 0.195)
Te (0.059, 0.732, 0.939)
F (0.895, 0.291, 0.564)
F (0.817, 0.956, 0.667)
F (0.568, 0.605, 0.319)
F (0.546, 0.207, 0.449)
F (0.651, 0.935, 0.229)
F (0.708, 0.150, 0.877)
F (0.292, 0.850, 0.123)
F (0.349, 0.065, 0.771)
F (0.454, 0.793, 0.551)
F (0.432, 0.395, 0.681)
F (0.183, 0.044, 0.333)
F (0.105, 0.709, 0.436)

## TiSbTe2F (PBE-GGA)

Data for crystalline TiSbTe2F at its relaxed geometry.

## Properties
Size of the total moment (μB/f.u.): 0.04
Calculated total energy (eV per atom): -3.98
Volume (A^3/atom): 24.05

Cell lengths 5.240, 5.240, 4.380 Å; angles 90.00, 90.00, 90.00 degrees
Site moments in Bohr magnetons follow the coordinates.
Element x y z (fractional)
Sb (0.000, 0.000, 0.500)  0.01
F (0.000, 0.000, 0.000)  0.00
Te (0.000, 0.500, 0.000)  0.01
Te (0.500, 0.000, 0.000)  0.01
Ti (0.500, 0.500, 0.500)  -0.06

## TiSbTe2F (PBE-GGA)

Data for crystalline TiSbTe2F at its relaxed geometry.

## Properties
Size of the total moment (μB/f.u.): 0.00
Calculated total energy (eV per atom): -4.31
Volume (A^3/atom): 28.27

Cell lengths 5.177, 5.177, 5.273 Å; angles 90.00, 90.00, 90.00 degrees
Element x y z (fractional)
Sb (0.000, 0.000, 0.500)
F (0.500, 0.500, 0.500)
Te (0.000, 0.500, 0.000)
Te (0.500, 0.000, 0.000)
Ti (0.000, 0.000, 0.000)

## Tl2SbTeF (PBE-GGA)

Data for crystalline Tl2SbTeF at its relaxed geometry.

## Properties
Size of the total moment (μB/f.u.): 0.00
Calculated total energy (eV per atom): -2.87
Volume (A^3/atom): 44.56

Cell lengths 6.323, 5.573, 6.323 Å; angles 90.00, 90.00, 90.00 degrees
Element x y z (fractional)
Sb (0.000, 0.000, 0.000)
Tl (0.000, 0.000, 0.500)
Tl (0.500, 0.000, 0.000)
Te (0.000, 0.500, 0.000)
F (0.500, 0.500, 0.500)

## YSb2TeF (PBE-GGA)

Data for crystalline YSb2TeF at its relaxed geometry.

## Properties
Size of the total moment (μB/f.u.): 0.00
Calculated total energy (eV per atom): -4.62
Volume (A^3/atom): 25.24

Cell lengths 4.678, 4.678, 5.765 Å; angles 90.00, 90.00, 90.00 degrees
Element x y z (fractional)
Y (0.500, 0.500, 0.500)
Sb (0.000, 0.500, 0.000)
Sb (0.500, 0.000, 0.000)
Te (0.000, 0.000, 0.500)
F (0.000, 0.000, 0.000)

## YSb2TeF (PBE-GGA)

Data for crystalline YSb2TeF at its relaxed geometry.

## Properties
Size of the total moment (μB/f.u.): 0.00
Calculated total energy (eV per atom): -3.96
Volume (A^3/atom): 38.16

Cell lengths 5.801, 5.801, 5.669 Å; angles 90.00, 90.00, 90.00 degrees
Element x y z (fractional)
Y (0.000, 0.000, 0.000)
Sb (0.000, 0.500, 0.000)
Sb (0.500, 0.000, 0.000)
Te (0.000, 0.000, 0.500)
F (0.500, 0.500, 0.500)

## ZnSbTe2F (PBE-GGA)

Data for crystalline ZnSbTe2F at its relaxed geometry.

## Properties
Size of the total moment (μB/f.u.): 0.00
Calculated total energy (eV per atom): -2.66
Volume (A^3/atom): 25.86

Cell lengths 5.433, 5.433, 4.380 Å; angles 90.00, 90.00, 90.00 degrees
Element x y z (fractional)
Sb (0.000, 0.000, 0.500)
Zn (0.500, 0.500, 0.500)
Te (0.000, 0.500, 0.000)
Te (0.500, 0.000, 0.000)
F (0.000, 0.000, 0.000)

## ZnSbTe2F (PBE-GGA)

Data for crystalline ZnSbTe2F at its relaxed geometry.

## Properties
Size of the total moment (μB/f.u.): 0.00
Calculated total energy (eV per atom): -2.50
Volume (A^3/atom): 28.63

Cell lengths 5.221, 5.221, 5.251 Å; angles 90.00, 90.00, 90.00 degrees
Element x y z (fractional)
Sb (0.000, 0.000, 0.500)
Zn (0.000, 0.000, 0.000)
Te (0.000, 0.500, 0.000)
Te (0.500, 0.000, 0.000)
F (0.500, 0.500, 0.500)

## ThSbF (PBE-GGA)

Data for crystalline ThSbF at its relaxed geometry.

## Properties
Size of the total moment (μB/f.u.): 0.00
Calculated total energy (eV per atom): -6.54
Volume (A^3/atom): 22.74

Cell lengths 4.190, 4.190, 15.539 Å; angles 90.00, 90.00, 90.00 degrees
Element x y z (fractional)
Sb (0.250, 0.750, 0.816)
Sb (0.250, 0.750, 0.316)
Sb (0.750, 0.250, 0.184)
Sb (0.750, 0.250, 0.684)
F (0.250, 0.250, 0.500)
F (0.250, 0.250, 0.000)
F (0.750, 0.750, 0.500)
F (0.750, 0.750, 0.000)
Th (0.250, 0.750, 0.606)
Th (0.250, 0.750, 0.106)
Th (0.750, 0.250, 0.394)
Th (0.750, 0.250, 0.894)

## ThSbF (PBE-GGA)

Data for crystalline ThSbF at its relaxed geometry.

## Properties
Size of the total moment (μB/f.u.): 0.00
Calculated total energy (eV per atom): -6.65
Volume (A^3/atom): 23.22

Cell lengths 4.373, 4.289, 4.289 Å; angles 120.00, 90.00, 90.00 degrees
Element x y z (fractional)
Sb (0.667, 0.667, 0.333)
Th (0.167, 0.000, 0.000)
F (0.167, 0.333, 0.667)

## TiSb3F (PBE-GGA)

Data for crystalline TiSb3F at its relaxed geometry.

## Properties
Size of the total moment (μB/f.u.): 0.00
Calculated total energy (eV per atom): -4.46
Volume (A^3/atom): 22.68

Cell lengths 4.840, 4.840, 4.840 Å; angles 90.00, 90.00, 90.00 degrees
Element x y z (fractional)
Sb (0.000, 0.500, 0.000)
Sb (0.000, 0.000, 0.500)
Sb (0.500, 0.000, 0.000)
F (0.000, 0.000, 0.000)
Ti (0.500, 0.500, 0.500)

## TiSbF (PBE-GGA)

Data for crystalline TiSbF at its relaxed geometry.

## Properties
Size of the total moment (μB/f.u.): 0.00
Calculated total energy (eV per atom): -5.90
Volume (A^3/atom): 18.77

Cell lengths 5.493, 3.932, 6.593 Å; angles 90.00, 127.72, 90.00 degrees
Element x y z (fractional)
Ti (0.290, 0.250, 0.392)
Ti (0.710, 0.750, 0.608)
Sb (0.688, 0.250, 0.236)
Sb (0.312, 0.750, 0.764)
F (0.771, 0.250, 0.739)
F (0.229, 0.750, 0.261)

## TiSb3F (PBE-GGA)

Data for crystalline TiSb3F at its relaxed geometry.

## Properties
Size of the total moment (μB/f.u.): 0.00
Calculated total energy (eV per atom): -4.67
Volume (A^3/atom): 27.32

Cell lengths 5.150, 5.150, 5.150 Å; angles 90.00, 90.00, 90.00 degrees
Element x y z (fractional)
Sb (0.000, 0.500, 0.000)
Sb (0.000, 0.000, 0.500)
Sb (0.500, 0.000, 0.000)
F (0.500, 0.500, 0.500)
Ti (0.000, 0.000, 0.000)

## TiSbF3 (PBE-GGA)

Data for crystalline TiSbF3 at its relaxed geometry.

## Properties
Size of the total moment (μB/f.u.): 3.22
Calculated total energy (eV per atom): -4.48
Volume (A^3/atom): 19.75

Cell lengths 4.622, 4.622, 4.622 Å; angles 90.00, 90.00, 90.00 degrees
Site moments in Bohr magnetons follow the coordinates.
Element x y z (fractional)
Sb (0.000, 0.000, 0.000)  -0.04
F (0.000, 0.500, 0.000)  -0.05
F (0.000, 0.000, 0.500)  -0.05
F (0.500, 0.000, 0.000)  -0.03
Ti (0.500, 0.500, 0.500)  -2.27

## Ti3SbF (PBE-GGA)

Data for crystalline Ti3SbF at its relaxed geometry.

## Properties
Size of the total moment (μB/f.u.): 7.75
Calculated total energy (eV per atom): -5.26
Volume (A^3/atom): 29.10

Cell lengths 5.260, 5.260, 5.260 Å; angles 90.00, 90.00, 90.00 degrees
Site moments in Bohr magnetons follow the coordinates.
Element x y z (fractional)
Sb (0.000, 0.000, 0.000)  -0.05
F (0.500, 0.500, 0.500)  0.10
Ti (0.000, 0.500, 0.000)  1.84
Ti (0.000, 0.000, 0.500)  2.05
Ti (0.500, 0.000, 0.000)  1.67

## TiSbF3 (PBE-GGA)

Data for crystalline TiSbF3 at its relaxed geometry.

## Properties
Size of the total moment (μB/f.u.): 0.00
Calculated total energy (eV per atom): -5.29
Volume (A^3/atom): 14.89

Cell lengths 4.207, 4.207, 4.207 Å; angles 90.00, 90.00, 90.00 degrees
Element x y z (fractional)
Sb (0.500, 0.500, 0.500)
F (0.000, 0.500, 0.000)
F (0.000, 0.000, 0.500)
F (0.500, 0.000, 0.000)
Ti (0.000, 0.000, 0.000)

## Ti3SbF (PBE-GGA)

Data for crystalline Ti3SbF at its relaxed geometry.

## Properties
Size of the total moment (μB/f.u.): 1.54
Calculated total energy (eV per atom): -6.65
Volume (A^3/atom): 15.58

Cell lengths 4.271, 4.271, 4.271 Å; angles 90.00, 90.00, 90.00 degrees
Site moments in Bohr magnetons follow the coordinates.
Element x y z (fractional)
Sb (0.500, 0.500, 0.500)  -0.01
F (0.000, 0.000, 0.000)  0.01
Ti (0.000, 0.500, 0.000)  0.39
Ti (0.000, 0.000, 0.500)  0.35
Ti (0.500, 0.000, 0.000)  0.47